Material: V3Mo4W3
Method: DFT, PBE
State: optimized geometry

```
V3Mo4W3
1.0
-1.6856 2.4216 0.8996
-3.6939 -0.2793 -6.1694
-4.3422 -4.3937 3.6913
V Mo W
3 4 3
Direct
0.5000 0.7043 0.6206
0.5000 0.3794 0.2957
0.5000 0.8407 0.1593
0.0000 0.6534 0.3466
0.0000 0.8073 0.8797
0.0000 0.1203 0.1927
0.0000 0.3725 0.6275
0.5000 0.1338 0.8662
0.0000 0.4692 0.9809
0.0000 0.0191 0.5308
```

Calculated values
- magnetic moment (μB/cell) = 0.0
- formation energy (eV/f.u.) = 4.94
- density (g/cm³) = 11.376

Material: TbCeSmPa
Method: DFT, PBE
State: optimized geometry

```
TbCeSmPa
1.0
5.5562 0.0000 0.0000
2.7781 4.8118 0.0000
2.7781 1.6039 4.5366
Ce Tb Pa Sm
1 1 1 1
Direct
0.7500 0.7500 0.7500
0.0000 0.0000 0.0000
0.5000 0.5000 0.5000
0.2500 0.2500 0.2500
```

Calculated values
- magnetic moment (μB/cell) = 4.2
- formation energy (eV/f.u.) = 1.56
- density (g/cm³) = 9.316

Material: CoSb2SeBr
Method: DFT, PBE
State: optimized geometry

```
CoSb2SeBr
1.0
-3.7807 0.9261 3.8225
3.6028 -0.6847 3.7292
1.1608 5.3287 -0.1430
Co Sb Se Br
1 2 1 1
Direct
0.5000 0.5000 0.5000
0.5000 0.0000 0.0000
0.0000 0.0000 0.5000
0.0000 0.0000 0.0000
0.0000 0.5000 0.0000
```

Calculated values
- magnetic moment (μB/cell) = 1.7
- density (g/cm³) = 4.921
- E_tot (eV for the cell shown) = -14.997

Material: NaBi2Se
Method: DFT, PBE
State: optimized geometry

```
NaBi2Se
1.0
9.9715 0.0000 0.0000
0.0000 9.9715 0.0000
4.9857 4.9857 2.7670
Bi Se Na
4 2 2
Direct
0.3750 0.2919 0.7500
0.8750 0.9581 0.7500
0.0419 0.6250 0.2500
0.7081 0.1250 0.2500
0.7500 0.2500 0.5000
0.0000 0.0000 0.0000
0.5000 0.5000 0.0000
0.2500 0.7500 0.5000
```

Calculated values
- magnetic moment (μB/cell) = 0.0
- energy above the lowest structure with this stoichiometry (meV/atom) = 0
- density (g/cm³) = 6.276